#w
4
Lattice="4.168 0.000 0.000 0.000 4.274 0.000 0.000 0.000 4.274" Properties=species:S:1:pos:R:3 comment="PmBeGe2 PBE optimized geometry" magmom_total_mub_per_cell=0.00 sg="P4/mmm, No. 123" pbc="T T T"
Be 2.084 0.000 0.000
Ge 0.000 0.000 2.137
Ge 0.000 2.137 0.000
Pm 2.084 2.137 2.137

#x
8
Lattice="-4.023 -1.023 0.073 1.677 -6.272 -0.716 0.882 5.346 6.124" Properties=species:S:1:pos:R:3 comment="PmBeGe2 PBE optimized geometry" magmom_total_mub_per_cell=0.00 sg="P-1, No. 2" pbc="T T T"
Pm -0.861 0.388 5.240
Pm -1.907 -4.004 2.773
Be -0.870 -0.318 0.161
Be -0.437 -1.351 2.372
Ge -1.185 0.990 2.060
Ge 1.368 -0.042 3.244
Ge -1.791 3.721 5.411
Ge -0.118 -2.657 0.471

#y
4
Lattice="3.699 0.000 -1.592 -0.624 3.704 -1.450 0.205 0.022 5.569" Properties=species:S:1:pos:R:3 comment="PmBeGe2 PBE optimized geometry" magmom_total_mub_per_cell=0.00 sg="I-4m2, No. 119" pbc="T T T"
Pm 1.833 1.623 -0.835
Be 3.016 0.710 1.915
Ge 3.105 2.992 2.120
Ge 0.768 0.275 1.783

#z
4
Lattice="-0.569 4.061 -0.744 -1.775 2.420 2.892 3.792 3.161 2.685" Properties=species:S:1:pos:R:3 comment="PmBeGe2 PBE optimized geometry" magmom_total_mub_per_cell=0.00 sg="R-3m, No. 166" pbc="T T T"
Be 0.000 0.000 0.000
Ge 1.608 7.346 3.850
Ge -0.160 2.296 0.984
Pm 0.724 4.821 2.417

In terms of stability, #y leads; the second structure lies 0.029 eV/atom higher.

#w
12
Lattice="-1.897 -2.347 5.144 3.168 -4.876 -1.325 5.016 6.375 1.436" Properties=species:S:1:pos:R:3 comment="Pr2BeGe3 PBE optimized geometry" magmom_total_mub_per_cell=0.00 sg="Fmmm, No. 69" pbc="T T T"
Pr 1.877 0.208 4.245
Pr -0.666 -2.962 3.571
Pr 4.410 -1.057 1.010
Pr 1.936 -4.261 0.248
Be 2.518 -2.692 3.024
Be 3.769 1.842 2.231
Ge 1.918 -4.801 3.379
Ge 4.958 0.607 3.645
Ge 4.369 3.952 1.876
Ge 1.329 -1.456 1.610
Ge 1.980 0.968 1.172
Ge 4.307 -1.817 4.083

#x
6
Lattice="-0.004 -4.330 0.391 4.097 -0.003 0.006 -0.010 0.645 7.138" Properties=species:S:1:pos:R:3 comment="Pr2BeGe3 PBE optimized geometry" magmom_total_mub_per_cell=0.00 sg="Pmm2, No. 25" pbc="T T T"
Pr 2.048 -0.001 0.014
Pr -0.005 0.323 3.578
Be 2.043 -1.958 2.508
Ge -0.011 -1.622 6.202
Ge -0.004 -2.041 1.572
Ge 2.040 -1.754 4.764

In terms of stability, #w leads; the second structure lies 0.022 eV/atom higher.

#w
5
Lattice="-2.597 -2.395 -3.360 -2.877 -1.795 3.503 -2.958 3.849 -0.458" Properties=species:S:1:pos:R:3 comment="BeGe3Pt PBE optimized geometry" magmom_total_mub_per_cell=0.00 sg="Pm-3m, No. 221" pbc="T T T"
Be -4.216 -0.171 -0.157
Ge -1.439 -0.897 1.751
Ge -1.479 1.924 -0.229
Ge -1.298 -1.198 -1.680
Pt 0.000 0.000 0.000

#x
5
Lattice="-1.970 -1.025 3.808 3.943 -0.545 1.894 0.030 4.253 1.161" Properties=species:S:1:pos:R:3 comment="BeGe3Pt PBE optimized geometry" magmom_total_mub_per_cell=0.00 sg="Pm-3m, No. 221" pbc="T T T"
Be 0.000 0.000 0.000
Ge 1.972 -0.273 0.947
Ge 0.015 2.126 0.580
Ge -0.985 -0.513 1.904
Pt 1.002 1.341 3.431

In terms of stability, #x leads; the second structure lies 0.312 eV/atom higher.

#w
6
Lattice="4.149 0.000 0.000 0.000 4.028 0.000 0.000 0.000 7.087" Properties=species:S:1:pos:R:3 comment="Pu2BeGe3 PBE optimized geometry" magmom_total_mub_per_cell=0.03 sg="Pmm2, No. 25" pbc="T T T"
Pu 0.000 2.014 7.079
Pu 0.000 0.000 3.567
Be 2.075 2.014 2.297
Ge 2.075 0.000 5.964
Ge 2.075 0.000 1.374
Ge 2.075 2.014 4.523

#x
12
Lattice="5.461 0.445 -1.826 -0.967 5.393 -1.826 -0.331 -0.430 8.162" Properties=species:S:1:pos:R:3 comment="Pu2BeGe3 PBE optimized geometry" magmom_total_mub_per_cell=0.10 sg="Fmmm, No. 69" pbc="T T T"
Pu 0.475 3.941 2.255
Pu 3.415 4.437 -2.776
Pu 3.688 1.467 2.255
Pu 1.079 1.401 -0.877
Be 2.886 3.749 0.287
Be 1.277 1.659 4.223
Ge 1.089 4.507 -0.713
Ge 0.085 3.202 5.222
Ge 3.074 0.901 5.222
Ge 4.078 2.206 -0.713
Ge 0.676 0.879 2.236
Ge 3.487 4.530 2.273

In terms of stability, #x leads; the second structure lies 0.018 eV/atom higher.

#w
4
Lattice="4.074 0.000 0.000 0.000 4.160 0.000 0.000 0.000 4.160" Properties=species:S:1:pos:R:3 comment="PuBeGe2 PBE optimized geometry" magmom_total_mub_per_cell=5.12 sg="P4/mmm, No. 123" pbc="T T T"
Be 2.037 0.000 0.000
Ge 0.000 0.000 2.080
Ge 0.000 2.080 0.000
Pu 2.037 2.080 2.080

#x
8
Lattice="-2.226 2.340 -2.435 -3.102 -2.877 0.071 -1.742 5.151 6.542" Properties=species:S:1:pos:R:3 comment="PuBeGe2 PBE optimized geometry" magmom_total_mub_per_cell=11.07 sg="Cmmm, No. 65" pbc="T T T"
Pu -3.917 1.229 4.762
Pu -0.927 1.045 1.851
Be -3.167 0.299 -0.177
Be -3.903 4.315 4.354
Ge -1.551 -1.439 0.036
Ge -1.113 1.170 -1.218
Ge -4.046 1.290 1.579
Ge -3.024 3.324 2.599

#y
4
Lattice="2.950 0.000 0.000 1.475 2.555 0.000 1.475 0.852 9.590" Properties=species:S:1:pos:R:3 comment="PuBeGe2 PBE optimized geometry" magmom_total_mub_per_cell=5.13 sg="R-3m, No. 166" pbc="T T T"
Be 2.950 1.703 4.795
Ge 1.475 0.852 6.622
Ge 4.425 2.555 2.968
Pu 0.000 0.000 0.000

In terms of stability, #x leads; the second structure lies 0.142 eV/atom higher.

#w
5
Lattice="-1.019 -2.184 3.994 -3.540 -2.193 -2.102 2.862 -3.491 -1.178" Properties=species:S:1:pos:R:3 comment="RbBe3Ge PBE optimized geometry" magmom_total_mub_per_cell=0.00 sg="Pm-3m, No. 221" pbc="T T T"
Be -1.770 -1.097 -1.051
Be 1.431 -1.745 -0.589
Be -0.510 -1.092 1.997
Ge 0.000 0.000 0.000
Rb -0.849 -3.934 0.357

#x
5
Lattice="5.265 0.000 0.000 0.000 5.265 0.000 0.000 0.000 5.265" Properties=species:S:1:pos:R:3 comment="RbBe3Ge PBE optimized geometry" magmom_total_mub_per_cell=0.00 sg="Pm-3m, No. 221" pbc="T T T"
Be 0.000 2.633 0.000
Be 0.000 0.000 2.633
Be 2.633 0.000 0.000
Ge 2.633 2.633 2.633
Rb 0.000 0.000 0.000

In terms of stability, #w leads; the second structure lies 1.495 eV/atom higher.

#w
8
Lattice="13.600 0.000 0.000 0.000 13.600 0.000 6.800 6.800 2.117" Properties=species:S:1:pos:R:3 comment="Rb2BeGe PBE optimized geometry" magmom_total_mub_per_cell=0.00 sg="I-42d, No. 122" pbc="T T T"
Be 6.800 6.800 0.000
Be 6.800 13.600 1.058
Ge 0.000 0.000 0.000
Ge 13.600 6.800 1.058
Rb 13.113 3.400 0.529
Rb 14.088 10.200 0.529
Rb 10.200 7.288 1.588
Rb 17.000 6.313 1.588

#x
4
Lattice="0.000 4.241 4.241 4.241 0.000 4.241 4.241 4.241 0.000" Properties=species:S:1:pos:R:3 comment="Rb2BeGe PBE optimized geometry" magmom_total_mub_per_cell=1.99 sg="Fm-3m, No. 225" pbc="T T T"
Be 0.000 0.000 0.000
Ge 4.241 4.241 4.241
Rb 2.121 2.121 2.121
Rb 6.362 6.362 6.362

In terms of stability, #w leads; the second structure lies 0.663 eV/atom higher.

#w
8
Lattice="-0.298 3.502 -1.428 -2.482 0.900 2.725 5.111 4.817 5.707" Properties=species:S:1:pos:R:3 comment="BeRe2Ge PBE optimized geometry" magmom_total_mub_per_cell=0.00 sg="I-42d, No. 122" pbc="T T T"
Re 0.798 3.311 0.954
Re -0.327 2.400 2.872
Re 2.653 5.314 4.918
Re 1.539 7.415 5.263
Ge 0.000 0.000 0.000
Ge 1.712 5.260 2.464
Be -1.390 2.201 0.648
Be 0.619 3.959 4.540

#x
4
Lattice="0.000 2.973 2.973 2.973 0.000 2.973 2.973 2.973 0.000" Properties=species:S:1:pos:R:3 comment="BeRe2Ge PBE optimized geometry" magmom_total_mub_per_cell=0.00 sg="Fm-3m, No. 225" pbc="T T T"
Re 1.487 1.487 1.487
Re 4.460 4.460 4.460
Ge 2.973 2.973 2.973
Be 0.000 0.000 0.000

In terms of stability, #x leads; the second structure lies 0.232 eV/atom higher.

#w
6
Lattice="4.382 -0.799 0.000 -1.563 4.171 0.000 0.000 0.000 4.481" Properties=species:S:1:pos:R:3 comment="BeGeRh PBE optimized geometry" magmom_total_mub_per_cell=0.00 sg="Cmcm, No. 63" pbc="T T T"
Ge 1.949 1.235 3.361
Ge 0.871 2.137 1.120
Rh -0.124 2.969 3.361
Rh 2.944 0.403 1.120
Be -1.089 3.775 1.120
Be 3.908 -0.403 3.361

#x
3
Lattice="2.942 0.000 0.000 0.000 2.942 0.000 -1.471 -1.471 5.707" Properties=species:S:1:pos:R:3 comment="BeGeRh PBE optimized geometry" magmom_total_mub_per_cell=0.00 sg="I4mm, No. 107" pbc="T T T"
Be 1.471 1.471 5.087
Ge 0.000 0.000 1.618
Rh 1.471 1.471 2.998

In terms of stability, #w leads; the second structure lies 0.485 eV/atom higher.

#w
5
Lattice="3.022 0.000 0.000 0.000 3.022 0.000 1.511 1.511 6.605" Properties=species:S:1:pos:R:3 comment="Be2GeRh2 PBE optimized geometry" magmom_total_mub_per_cell=0.00 sg="I4/mmm, No. 139" pbc="T T T"
Be 3.022 1.511 3.302
Be 1.511 3.022 3.302
Ge 0.000 0.000 0.000
Rh 1.511 1.511 1.476
Rh 3.022 3.022 5.129

#x
10
Lattice="-5.066 3.709 1.072 -2.677 -4.648 3.435 1.259 1.033 2.379" Properties=species:S:1:pos:R:3 comment="Be2GeRh2 PBE optimized geometry" magmom_total_mub_per_cell=0.00 sg="P4/mbm, No. 127" pbc="T T T"
Be -4.273 -2.680 3.425
Be -6.115 0.374 3.075
Be -3.470 1.741 1.081
Be -1.627 -1.313 1.431
Ge 0.000 0.000 0.000
Ge -3.871 -0.470 2.253
Rh -2.041 -1.969 3.682
Rh -4.991 -0.840 4.753
Rh -4.442 2.063 3.203
Rh -1.492 0.933 2.132

In terms of stability, #x leads; the second structure lies 0.023 eV/atom higher.

#w
5
Lattice="-1.422 4.082 0.687 -3.701 -0.928 -2.145 -1.855 -1.278 3.753" Properties=species:S:1:pos:R:3 comment="BeGe3Rh PBE optimized geometry" magmom_total_mub_per_cell=0.00 sg="Pm-3m, No. 221" pbc="T T T"
Be 0.000 0.000 0.000
Ge -1.850 -0.464 -1.073
Ge -0.928 -0.639 1.876
Ge -0.711 2.041 0.344
Rh -3.489 0.938 1.147

#x
5
Lattice="4.769 0.000 0.000 0.000 4.769 0.000 0.000 0.000 4.769" Properties=species:S:1:pos:R:3 comment="BeGe3Rh PBE optimized geometry" magmom_total_mub_per_cell=0.00 sg="Pm-3m, No. 221" pbc="T T T"
Be 2.384 2.384 2.384
Ge 0.000 2.384 0.000
Ge 0.000 0.000 2.384
Ge 2.384 0.000 0.000
Rh 0.000 0.000 0.000

In terms of stability, #w leads; the second structure lies 0.079 eV/atom higher.

#w
5
Lattice="-2.012 3.725 -1.486 -2.380 -2.447 -2.912 -3.228 -0.517 3.073" Properties=species:S:1:pos:R:3 comment="BeGeRh3 PBE optimized geometry" magmom_total_mub_per_cell=0.00 sg="Pm-3m, No. 221" pbc="T T T"
Be -3.810 0.380 -0.663
Ge 0.000 0.000 0.000
Rh -1.190 -1.223 -1.456
Rh -1.614 -0.259 1.537
Rh -1.006 1.863 -0.743

#x
5
Lattice="4.121 0.000 0.000 0.000 4.121 0.000 0.000 0.000 4.121" Properties=species:S:1:pos:R:3 comment="BeGeRh3 PBE optimized geometry" magmom_total_mub_per_cell=0.00 sg="Pm-3m, No. 221" pbc="T T T"
Be 0.000 0.000 0.000
Ge 2.060 2.060 2.060
Rh 0.000 2.060 0.000
Rh 0.000 0.000 2.060
Rh 2.060 0.000 0.000

In terms of stability, #x leads; the second structure lies 0.748 eV/atom higher.